A plane-wave DFT calculation with PBEsol was carried out for a geometry-optimized LaRe2 structure.

Cell and atoms, written as CIF:
```
data_LaRe2
_chemical_formula_sum 'La1 Re2'
_space_group_name_H-M_alt 'P 1'
_space_group_IT_number 1
_space_group_name_Hall 'P 1'
_cell_length_a 3.584
_cell_length_b 3.584
_cell_length_c 5.240
_cell_angle_alpha 90.00
_cell_angle_beta 90.00
_cell_angle_gamma 90.00
loop_
_atom_site_label
_atom_site_type_symbol
_atom_site_fract_x
_atom_site_fract_y
_atom_site_fract_z
La1 La 0.000 0.000 0.000
Re1 Re 0.000 0.500 0.500
Re2 Re 0.500 0.000 0.500
```

Summary:
ΔE_f, eV/atom: 0.60
Final energy, eV/atom: -10.072

A plane-wave DFT calculation with PBEsol was carried out for a geometry-optimized La3Re structure.

Cell and atoms, written as CIF:
```
data_La3Re
_chemical_formula_sum 'La3 Re1'
_space_group_name_H-M_alt 'P 1'
_space_group_IT_number 1
_space_group_name_Hall 'P 1'
_cell_length_a 5.176
_cell_length_b 5.176
_cell_length_c 5.176
_cell_angle_alpha 60.00
_cell_angle_beta 60.00
_cell_angle_gamma 60.00
loop_
_atom_site_label
_atom_site_type_symbol
_atom_site_fract_x
_atom_site_fract_y
_atom_site_fract_z
La1 La 0.000 0.000 0.000
La2 La 0.250 0.250 0.250
La3 La 0.750 0.750 0.750
Re1 Re 0.500 0.500 0.500
```

Summary:
ΔE_f, eV/atom: 0.39
Final energy, eV/atom: -6.958

A plane-wave DFT calculation with PBEsol was carried out for a geometry-optimized LaRe3 structure.

Cell and atoms, written as CIF:
```
data_LaRe3
_chemical_formula_sum 'La1 Re3'
_space_group_name_H-M_alt 'P 1'
_space_group_IT_number 1
_space_group_name_Hall 'P 1'
_cell_length_a 4.722
_cell_length_b 4.722
_cell_length_c 3.128
_cell_angle_alpha 90.00
_cell_angle_beta 90.00
_cell_angle_gamma 90.00
loop_
_atom_site_label
_atom_site_type_symbol
_atom_site_fract_x
_atom_site_fract_y
_atom_site_fract_z
La1 La 0.000 0.000 0.000
Re1 Re 0.000 0.500 0.500
Re2 Re 0.500 0.000 0.500
Re3 Re 0.500 0.500 0.000
```

Summary:
Offset from the most stable computed form, meV per atom: 420
ΔE_f, eV/atom: 0.84
Final energy, eV/atom: -10.500

What is the formula in the third record?
LaRe3